[1]
The following is a DFT calculation (PBE) of UCu2Pd8 after structural relaxation.

The size of the total moment comes out at 0.019 μB/atom. The density of states at the Fermi level comes out at 6.3 states/eV/f.u. For the energy above the most stable polymorph in this dataset, the calculation gives 103.8 meV per atom. The calculation puts the total energy at -5.744 eV/atom.

The space group is C2/m (No. 12) and the conventional cell measures 13.438, 5.374 and 4.929 Å, with angles of 90.00, 92.65 and 90.00 degrees. The asymmetric unit holds U at (0.000, 0.000, 0.000), Cu at (0.245, 0.500, 0.611), Pd at (0.091, 0.500, 0.889), Pd at (0.093, 0.251, 0.392) and Pd at (0.196, 0.000, 0.883).



[2]
The following is a DFT calculation (PBE) of UCu3Pd2 after structural relaxation.

The size of the total moment comes out at 0.377 μB/atom. The density of states at the Fermi level comes out at 7.1 states/eV/f.u. The calculation puts the total energy at -5.814 eV/atom.

The space group is Imm2 (No. 44) and the conventional cell measures 4.946, 5.408 and 7.209 Å, with angles of 90.00, 90.00 and 90.00 degrees. The asymmetric unit holds U at (0.000, 0.000, 0.000), Cu at (0.000, 0.500, 0.766), Cu at (0.249, 0.500, 0.115) and Pd at (0.000, 0.249, 0.368).



[3]
The following is a DFT calculation (PBE) of UCu2Pd8 after structural relaxation.

The size of the total moment comes out at 0.060 μB/atom. The density of states at the Fermi level comes out at 7.4 states/eV/f.u. For the energy above the most stable polymorph in this dataset, the calculation gives 0.0 meV per atom. The calculation puts the total energy at -5.848 eV/atom.

The space group is C2/m (No. 12) and the conventional cell measures 13.909, 4.152 and 6.247 Å, with angles of 90.00, 107.12 and 90.00 degrees. The asymmetric unit holds U at (0.000, 0.000, 0.000), Cu at (0.226, 0.500, 0.640), Pd at (0.047, 0.500, 0.731), Pd at (0.097, 0.000, 0.457), Pd at (0.143, 0.500, 0.201) and Pd at (0.181, 0.000, 0.924).



[4]
The following is a DFT calculation (PBE) of UCuPd5 after structural relaxation.

The size of the total moment comes out at 0.142 μB/atom. The density of states at the Fermi level comes out at 6.8 states/eV/f.u. The calculation puts the total energy at -6.057 eV/atom.

The space group is Imma (No. 74) and the conventional cell measures 8.007, 11.079 and 5.612 Å, with angles of 90.00, 90.00 and 90.00 degrees. The asymmetric unit holds U at (0.000, 0.250, 0.242), Cu at (0.000, 0.000, 0.000), Pd at (0.000, 0.250, 0.777) and Pd at (0.227, 0.122, 0.502).



[5]
The following is a DFT calculation (PBE) of VCu2Pd3 after structural relaxation.

The size of the total moment comes out at 0.260 μB/atom. The density of states at the Fermi level comes out at 4.8 states/eV/f.u. For the energy above the most stable polymorph in this dataset, the calculation gives 78.2 meV per atom. The calculation puts the total energy at -5.565 eV/atom.

The space group is C2/m (No. 12) and the conventional cell measures 4.799, 8.313 and 8.678 Å, with angles of 90.00, 100.48 and 90.00 degrees. The asymmetric unit holds V at (0.000, 0.165, 0.000), Cu at (0.000, 0.000, 0.500), Cu at (0.000, 0.330, 0.500), Cu at (0.000, 0.500, 0.000), Pd at (0.250, 0.000, 0.249) and Pd at (0.250, 0.167, 0.754).



[6]
The following is a DFT calculation (PBE) of V4CuPd7 after structural relaxation.

The size of the total moment comes out at 0.238 μB/atom. The density of states at the Fermi level comes out at 14.0 states/eV/f.u. The calculation puts the total energy at -6.275 eV/atom.

The space group is C2/m (No. 12) and the conventional cell measures 10.044, 4.642 and 9.297 Å, with angles of 90.00, 118.93 and 90.00 degrees. The asymmetric unit holds V at (0.073, 0.000, 0.273), V at (0.221, 0.000, 0.812), Cu at (0.000, 0.500, 0.500), Pd at (0.000, 0.000, 0.500), Pd at (0.056, 0.500, 0.871), Pd at (0.152, 0.000, 0.062) and Pd at (0.207, 0.500, 0.412).



[7]
The following is a DFT calculation (PBE) of VCu2Pd after structural relaxation.

The size of the total moment comes out at 0.000 μB/atom. The density of states at the Fermi level comes out at 2.6 states/eV/f.u. For the energy above the most stable polymorph in this dataset, the calculation gives 0.0 meV per atom. The calculation puts the total energy at -5.605 eV/atom.

The space group is P4/mmm (No. 123) and the conventional cell measures 2.626, 2.626 and 7.693 Å, with angles of 90.00, 90.00 and 90.00 degrees. The asymmetric unit holds V at (0.000, 0.000, 0.000), Cu at (0.500, 0.500, 0.248) and Pd at (0.000, 0.000, 0.500).



[8]
The following is a DFT calculation (PBE) of VCu2Pd3 after structural relaxation.

The size of the total moment comes out at 0.000 μB/atom. The density of states at the Fermi level comes out at 5.3 states/eV/f.u. For the energy above the most stable polymorph in this dataset, the calculation gives 0.0 meV per atom. The calculation puts the total energy at -5.644 eV/atom.

The space group is P4/mmm (No. 123) and the conventional cell measures 2.782, 2.782 and 10.819 Å, with angles of 90.00, 90.00 and 90.00 degrees. The asymmetric unit holds V at (0.000, 0.000, 0.000), Cu at (0.000, 0.000, 0.338), Pd at (0.500, 0.500, 0.168) and Pd at (0.500, 0.500, 0.500).